VASP calculation (GGA-PBE) on a relaxed structure of La.

Structure (POSCAR):
```
La
1.0
6.845 0.000 0.000
0.000 6.845 0.000
0.000 0.000 12.685
La
16
Direct
0.165 0.165 0.250
0.665 0.835 0.000
0.335 0.165 0.000
0.835 0.835 0.250
0.835 0.665 0.500
0.165 0.335 0.500
0.835 0.335 0.000
0.835 0.165 0.750
0.165 0.835 0.750
0.165 0.665 0.000
0.665 0.165 0.500
0.335 0.835 0.500
0.665 0.665 0.750
0.335 0.335 0.750
0.335 0.665 0.250
0.665 0.335 0.250
```

Results
**Space-group type**: I4_1/acd (142)
**Volume**: 594.3 Å³/cell
**E_form**: 0.2062 eV/atom
**Crystal system**: tetragonal

---

VASP calculation (GGA-PBE) on a relaxed structure of La.

Structure (POSCAR):
```
La
1.0
-2.433 -0.515 -2.598
-0.532 -5.688 1.625
-3.494 4.129 2.454
La
3
Direct
0.500 0.000 0.000
0.000 0.667 0.333
0.000 0.333 0.667
```

Results
**Space-group type**: P6/mmm (191)
**Volume**: 109.9 Å³/cell
**E_form**: 0.0310 eV/atom
**Crystal system**: hexagonal

---

VASP calculation (GGA-PBE) on a relaxed structure of LiLa.

Structure (POSCAR):
```
LiLa
1.0
11.343 0.000 0.000
0.000 11.343 0.000
0.000 0.000 3.457
Li La
8 8
Direct
0.359 0.957 0.000
0.641 0.043 0.000
0.043 0.359 0.000
0.957 0.641 0.000
0.859 0.457 0.500
0.141 0.543 0.500
0.543 0.859 0.500
0.457 0.141 0.500
0.352 0.378 0.000
0.648 0.622 0.000
0.622 0.352 0.000
0.378 0.648 0.000
0.852 0.878 0.500
0.148 0.122 0.500
0.122 0.852 0.500
0.878 0.148 0.500
```

Results
**Space-group type**: I4/m (87)
**Volume**: 444.8 Å³/cell
**E_form**: 0.1405 eV/atom
**Crystal system**: tetragonal

---

VASP calculation (GGA-PBE) on a relaxed structure of Li2La.

Structure (POSCAR):
```
Li2La
1.0
5.211 0.000 0.000
2.605 4.513 0.000
2.605 1.504 4.254
La Li
1 2
Direct
0.000 0.000 0.000
0.250 0.250 0.250
0.750 0.750 0.750
```

Results
**Space-group type**: Fm-3m (225)
**Volume**: 100.0 Å³/cell
**E_form**: 0.7240 eV/atom
**Crystal system**: cubic

---

Which value of volume does entry 1 give? 594.3 Å³/cell